# BeCrO2

A relaxed structure of BeCrO2 (PBE+U, the Alexandria database).

Calculated values
Symmetry: No. 166
Calculated density: 4.127 Mg/m³
Crystal system: trigonal
Electronic total energy: -26.17 eV per cell

a = 5.8062 Å, b = 5.8062 Å, c = 5.8062 Å
α = 27.73°, β = 27.73°, γ = 27.73°
Element x y z (fractional)
Cr1 0.0000 0.0000 0.0000
O1 0.1101 0.1101 0.1101
O2 0.8899 0.8899 0.8899
Be1 0.5000 0.5000 0.5000